# 1
Compound: LiCuN3
Source: the Alexandria database
Functional: meta-GGA SCAN
Structure: single point on PBEsol structure

```
LiCuN3
1.0
3.753 0.000 0.000
0.000 3.753 0.000
0.000 0.000 3.753
Li Cu N
1 1 3
Direct
0.000 0.000 0.000
0.500 0.500 0.500
0.000 0.500 0.500
0.500 0.000 0.500
0.500 0.500 0.000
```

Computed properties:
- calculated total energy (eV per cell) = -37.49
- energy relative to the elements, uncorrected (meV/atom) = 1594
- symmetry = Pm-3m
- M_tot (μB/atom) = 0.859

# 2
Compound: Be3Fe5
Source: the Alexandria database
Functional: meta-GGA SCAN
Structure: single point on PBEsol structure

```
Be3Fe5
1.0
-4.191 4.191 2.128
4.191 -4.191 2.128
4.191 4.191 -2.128
Be Fe
6 10
Direct
0.170 0.670 0.839
0.250 0.250 0.000
0.330 0.170 0.500
0.670 0.830 0.500
0.750 0.750 0.000
0.830 0.330 0.161
0.073 0.223 0.296
0.223 0.927 0.150
0.250 0.750 0.500
0.277 0.427 0.704
0.427 0.723 0.150
0.573 0.277 0.850
0.723 0.573 0.296
0.750 0.250 0.500
0.777 0.073 0.850
0.927 0.777 0.704
```

Computed properties:
- calculated total energy (eV per cell) = -209.21
- symmetry = I4/mcm
- ΔE to the lowest computed polymorph (meV/atom) = 37
- energy of formation from the pure elements (eV per atom) = -0.11
- M_tot (μB/atom) = 1.370

# 3
Compound: GeRu3N
Source: the Alexandria database
Functional: meta-GGA SCAN
Structure: single point on PBEsol structure

```
GeRu3N
1.0
3.973 0.000 0.000
0.000 3.973 0.000
0.000 0.000 3.973
Ge Ru N
1 3 1
Direct
0.000 0.000 0.000
0.000 0.500 0.500
0.500 0.000 0.500
0.500 0.500 0.000
0.500 0.500 0.500
```

Computed properties:
- calculated total energy (eV per cell) = -131.67
- energy relative to the elements, uncorrected (meV/atom) = 238
- symmetry = Pm-3m
- M_tot (μB/atom) = 0.000

# 4
Compound: Y3BeBr
Source: the Alexandria database
Functional: meta-GGA SCAN
Structure: single point on PBEsol structure

```
Y3BeBr
1.0
5.194 0.000 0.000
0.000 5.194 0.000
0.000 0.000 5.194
Y Be Br
3 1 1
Direct
0.000 0.000 0.500
0.000 0.500 0.000
0.500 0.000 0.000
0.000 0.000 0.000
0.500 0.500 0.500
```

Computed properties:
- calculated total energy (eV per cell) = -107.14
- energy relative to the elements, uncorrected (meV/atom) = 41
- symmetry = Pm-3m
- M_tot (μB/atom) = 0.259

# 5
Compound: CsY2TePt
Source: the Alexandria database
Functional: meta-GGA SCAN
Structure: single point on PBEsol structure

```
CsY2TePt
1.0
5.562 0.000 0.000
0.000 5.562 0.000
0.000 0.000 6.506
Cs Y Te Pt
1 2 1 1
Direct
0.000 0.000 0.000
0.000 0.500 0.500
0.500 0.000 0.500
0.000 0.000 0.500
0.500 0.500 0.000
```

Computed properties:
- calculated total energy (eV per cell) = -198.98
- energy relative to the elements, uncorrected (meV/atom) = 392
- symmetry = P4/mmm
- M_tot (μB/atom) = 0.000

# 6
Compound: CuAg2Pb
Source: the Alexandria database
Functional: meta-GGA SCAN
Structure: single point on PBEsol structure

```
CuAg2Pb
1.0
4.056 0.000 0.000
0.000 4.056 0.000
0.000 0.000 4.332
Cu Ag Pb
1 2 1
Direct
0.000 0.000 0.000
0.000 0.500 0.500
0.500 0.000 0.500
0.500 0.500 0.000
```

Computed properties:
- calculated total energy (eV per cell) = -152.85
- symmetry = P4/mmm
- energy of formation from the pure elements (eV per atom) = 0.22
- M_tot (μB/atom) = 0.000

# 7
Compound: InNiP2
Source: the Alexandria database
Functional: meta-GGA SCAN
Structure: single point on PBEsol structure

```
InNiP2
1.0
0.000 3.130 3.130
3.130 0.000 3.130
3.130 3.130 0.000
In Ni P
1 1 2
Direct
0.000 0.000 0.000
0.750 0.750 0.750
0.250 0.250 0.250
0.500 0.500 0.500
```

Computed properties:
- calculated total energy (eV per cell) = -67.74
- symmetry = F-43m
- energy of formation from the pure elements (eV per atom) = 0.65
- M_tot (μB/atom) = 0.000

# 8
Compound: La5SmS8
Source: the Alexandria database
Functional: meta-GGA SCAN
Structure: single point on PBEsol structure

```
La5SmS8
1.0
-4.284 4.284 4.275
4.284 -4.284 4.275
4.284 4.284 -4.275
La Sm S
5 1 8
Direct
0.000 0.000 0.000
0.248 0.124 0.622
0.375 0.752 0.877
0.502 0.625 0.378
0.876 0.498 0.123
0.750 0.250 0.500
0.121 0.372 0.897
0.122 0.374 0.405
0.283 0.878 0.252
0.475 0.224 0.103
0.626 0.031 0.748
0.628 0.525 0.749
0.776 0.879 0.251
0.969 0.717 0.595
```

Computed properties:
- calculated total energy (eV per cell) = -370.93
- energy relative to the elements, uncorrected (meV/atom) = -2424
- symmetry = I-4
- M_tot (μB/atom) = 0.000

# 9
Compound: SnBOF2
Source: the Alexandria database
Functional: meta-GGA SCAN
Structure: single point on PBEsol structure

```
SnBOF2
1.0
4.279 0.000 0.000
0.000 4.279 0.000
0.000 0.000 3.999
Sn B O F
1 1 1 2
Direct
0.000 0.000 0.000
0.500 0.500 0.500
0.000 0.000 0.500
0.000 0.500 0.000
0.500 0.000 0.000
```

Computed properties:
- calculated total energy (eV per cell) = -59.50
- energy relative to the elements, uncorrected (meV/atom) = -568
- symmetry = P4/mmm
- M_tot (μB/atom) = 0.086

# 10
Compound: TlTcHg2F
Source: the Alexandria database
Functional: meta-GGA SCAN
Structure: single point on PBEsol structure

```
TlTcHg2F
1.0
5.522 0.000 0.000
0.000 5.522 0.000
0.000 0.000 5.431
Tl Tc Hg F
1 1 2 1
Direct
0.000 0.000 0.000
0.000 0.000 0.500
0.000 0.500 0.000
0.500 0.000 0.000
0.500 0.500 0.500
```

Computed properties:
- calculated total energy (eV per cell) = -243.65
- energy relative to the elements, uncorrected (meV/atom) = 728
- symmetry = P4/mmm
- M_tot (μB/atom) = 0.980

# 11
Compound: Zn2CdAu2
Source: the Alexandria database
Functional: meta-GGA SCAN
Structure: single point on PBEsol structure

```
Zn2CdAu2
1.0
7.364 0.000 0.000
0.000 7.364 0.000
0.000 0.000 3.093
Zn Cd Au
4 2 4
Direct
0.154 0.346 0.000
0.346 0.846 0.000
0.654 0.154 0.000
0.846 0.654 0.000
0.000 0.000 0.500
0.500 0.500 0.500
0.143 0.643 0.500
0.357 0.143 0.500
0.643 0.857 0.500
0.857 0.357 0.500
```

Computed properties:
- calculated total energy (eV per cell) = -393.83
- symmetry = P4/mbm
- ΔE to the lowest computed polymorph (meV/atom) = 11
- energy of formation from the pure elements (eV per atom) = -0.23
- M_tot (μB/atom) = 0.000

# 12
Compound: KAlPO2
Source: the Alexandria database
Functional: meta-GGA SCAN
Structure: single point on PBEsol structure

```
KAlPO2
1.0
4.313 0.000 0.000
0.000 4.313 0.000
0.000 0.000 5.875
K Al P O
1 1 1 2
Direct
0.000 0.000 0.000
0.500 0.500 0.500
0.000 0.000 0.500
0.000 0.500 0.000
0.500 0.000 0.000
```

Computed properties:
- calculated total energy (eV per cell) = -34.03
- energy relative to the elements, uncorrected (meV/atom) = 982
- symmetry = P4/mmm
- M_tot (μB/atom) = 0.708

# 13
Compound: InSbTe
Source: the Alexandria database
Functional: meta-GGA SCAN
Structure: single point on PBEsol structure

```
InSbTe
1.0
4.228 0.000 0.000
-2.114 3.661 0.000
0.000 0.000 5.530
In Sb Te
1 1 1
Direct
0.000 0.000 0.000
0.333 0.667 0.691
0.667 0.333 0.326
```

Computed properties:
- calculated total energy (eV per cell) = -108.00
- energy relative to the elements, uncorrected (meV/atom) = -35
- symmetry = P3m1
- ΔE to the lowest computed polymorph (meV/atom) = 0
- M_tot (μB/atom) = 0.000

# 14
Compound: CdOs3Br
Source: the Alexandria database
Functional: meta-GGA SCAN
Structure: single point on PBEsol structure

```
CdOs3Br
1.0
4.921 0.000 0.000
0.000 4.921 0.000
0.000 0.000 4.921
Cd Os Br
1 3 1
Direct
0.000 0.000 0.000
0.000 0.000 0.500
0.000 0.500 0.000
0.500 0.000 0.000
0.500 0.500 0.500
```

Computed properties:
- calculated total energy (eV per cell) = -248.71
- energy relative to the elements, uncorrected (meV/atom) = 3360
- symmetry = Pm-3m
- M_tot (μB/atom) = 1.605

# 15
Compound: TlBiCl2
Source: the Alexandria database
Functional: meta-GGA SCAN
Structure: single point on PBEsol structure

```
TlBiCl2
1.0
1.831 1.057 9.800
-1.831 1.057 9.800
0.000 -2.114 9.800
Tl Bi Cl
1 1 2
Direct
0.000 0.000 0.000
0.500 0.500 0.500
0.409 0.409 0.409
0.591 0.591 0.591
```

Computed properties:
- calculated total energy (eV per cell) = -169.63
- energy relative to the elements, uncorrected (meV/atom) = -683
- symmetry = R-3m
- M_tot (μB/atom) = 0.000

# 16
Compound: KCdIr2
Source: the Alexandria database
Functional: meta-GGA SCAN
Structure: single point on PBEsol structure

```
KCdIr2
1.0
2.819 0.000 0.000
0.000 2.819 0.000
0.000 0.000 9.596
K Cd Ir
1 1 2
Direct
0.000 0.000 0.000
0.500 0.500 0.324
0.000 0.000 0.549
0.500 0.500 0.723
```

Computed properties:
- calculated total energy (eV per cell) = -179.63
- symmetry = P4mm
- energy of formation from the pure elements (eV per atom) = 0.33
- M_tot (μB/atom) = 0.000

# 17
Compound: HfTcPb3
Source: the Alexandria database
Functional: meta-GGA SCAN
Structure: single point on PBEsol structure

```
HfTcPb3
1.0
5.182 0.000 0.000
0.000 5.182 0.000
0.000 0.000 5.182
Hf Tc Pb
1 1 3
Direct
0.000 0.000 0.000
0.500 0.500 0.500
0.000 0.500 0.500
0.500 0.000 0.500
0.500 0.500 0.000
```

Computed properties:
- calculated total energy (eV per cell) = -320.17
- symmetry = Pm-3m
- energy of formation from the pure elements (eV per atom) = 0.98
- M_tot (μB/atom) = 0.000

# 18
Compound: Hf2H2Ir
Source: the Alexandria database
Functional: meta-GGA SCAN
Structure: single point on PBEsol structure

```
Hf2H2Ir
1.0
-1.566 1.566 6.083
1.566 -1.566 6.083
1.566 1.566 -6.083
Hf H Ir
2 2 1
Direct
0.139 0.139 0.000
0.861 0.861 0.000
0.250 0.750 0.500
0.750 0.250 0.500
0.500 0.500 0.000
```

Computed properties:
- calculated total energy (eV per cell) = -207.31
- symmetry = I4/mmm
- M_tot (μB/atom) = 0.000

# 19
Compound: PtWCl2
Source: the Alexandria database
Functional: meta-GGA SCAN
Structure: single point on PBEsol structure

```
PtWCl2
1.0
2.828 -4.263 0.000
2.828 4.263 0.000
-1.205 0.000 2.618
Pt W Cl
1 1 2
Direct
0.000 0.000 0.000
0.500 0.500 0.000
0.000 0.500 0.000
0.500 0.000 0.000
```

Computed properties:
- calculated total energy (eV per cell) = -152.86
- energy relative to the elements, uncorrected (meV/atom) = 745
- symmetry = C2/m
- M_tot (μB/atom) = 0.182

# 20
Compound: Hf2GaHF
Source: the Alexandria database
Functional: meta-GGA SCAN
Structure: single point on PBEsol structure

```
Hf2GaHF
1.0
5.166 0.000 0.000
0.000 5.166 0.000
0.000 0.000 3.157
Hf Ga H F
2 1 1 1
Direct
0.000 0.500 0.000
0.500 0.000 0.000
0.000 0.000 0.000
0.000 0.000 0.500
0.500 0.500 0.500
```

Computed properties:
- calculated total energy (eV per cell) = -147.13
- symmetry = P4/mmm
- M_tot (μB/atom) = 0.000

# 21
Compound: Cs4Cu3F10
Source: the Alexandria database
Functional: meta-GGA SCAN
Structure: single point on PBEsol structure

```
Cs4Cu3F10
1.0
6.970 -3.064 0.000
6.970 3.064 0.000
-3.544 0.000 6.986
Cs Cu F
4 3 10
Direct
0.035 0.035 0.288
0.314 0.314 0.217
0.686 0.686 0.783
0.965 0.965 0.712
0.303 0.303 0.685
0.500 0.500 0.000
0.697 0.697 0.315
0.000 0.500 0.500
0.174 0.604 0.936
0.178 0.178 0.722
0.396 0.826 0.064
0.437 0.437 0.667
0.500 0.000 0.500
0.563 0.563 0.333
0.604 0.174 0.936
0.822 0.822 0.278
0.826 0.396 0.064
```

Computed properties:
- calculated total energy (eV per cell) = -273.21
- energy relative to the elements, uncorrected (meV/atom) = -2410
- symmetry = C2/m
- M_tot (μB/atom) = 0.176

# 22
Compound: Y3Te2
Source: the Alexandria database
Functional: meta-GGA SCAN
Structure: single point on PBEsol structure

```
Y3Te2
1.0
2.022 1.168 10.448
-2.022 1.168 10.448
0.000 -2.335 10.448
Y Te
3 2
Direct
0.000 0.000 0.000
0.210 0.210 0.210
0.790 0.790 0.790
0.394 0.394 0.394
0.606 0.606 0.606
```

Computed properties:
- calculated total energy (eV per cell) = -163.76
- energy relative to the elements, uncorrected (meV/atom) = -1146
- symmetry = R-3m
- M_tot (μB/atom) = 0.152

# 23
Compound: Tl2Ga2Bi
Source: the Alexandria database
Functional: meta-GGA SCAN
Structure: single point on PBEsol structure

```
Tl2Ga2Bi
1.0
7.527 0.000 0.000
0.000 7.527 0.000
0.000 0.000 4.518
Tl Ga Bi
4 4 2
Direct
0.178 0.322 0.000
0.322 0.822 0.000
0.678 0.178 0.000
0.822 0.678 0.000
0.123 0.623 0.500
0.377 0.123 0.500
0.623 0.877 0.500
0.877 0.377 0.500
0.000 0.000 0.500
0.500 0.500 0.500
```

Computed properties:
- calculated total energy (eV per cell) = -510.97
- symmetry = P4/mbm
- energy of formation from the pure elements (eV per atom) = 0.10
- M_tot (μB/atom) = 0.000

# 24
Compound: NaTaIr3
Source: the Alexandria database
Functional: meta-GGA SCAN
Structure: single point on PBEsol structure

```
NaTaIr3
1.0
4.771 0.000 0.000
0.000 4.771 0.000
0.000 0.000 4.771
Na Ta Ir
1 1 3
Direct
0.000 0.000 0.000
0.500 0.500 0.500
0.000 0.500 0.500
0.500 0.000 0.500
0.500 0.500 0.000
```

Computed properties:
- calculated total energy (eV per cell) = -278.07
- symmetry = Pm-3m
- energy of formation from the pure elements (eV per atom) = 1.20
- M_tot (μB/atom) = 0.000

# 25
Compound: La2ZrAu
Source: the Alexandria database
Functional: meta-GGA SCAN
Structure: single point on PBEsol structure

```
La2ZrAu
1.0
3.414 0.000 0.000
0.000 5.292 0.000
0.000 0.000 5.326
La Zr Au
2 1 1
Direct
0.000 0.000 0.000
0.500 0.000 0.500
0.000 0.500 0.500
0.500 0.500 0.000
```

Computed properties:
- calculated total energy (eV per cell) = -186.80
- symmetry = Pmmm
- ΔE to the lowest computed polymorph (meV/atom) = 13
- energy of formation from the pure elements (eV per atom) = -0.18
- M_tot (μB/atom) = 0.000

# 26
Compound: Sc2SbP
Source: the Alexandria database
Functional: meta-GGA SCAN
Structure: single point on PBEsol structure

```
Sc2SbP
1.0
-3.642 3.642 3.199
3.642 -3.642 3.199
3.642 3.642 -3.199
Sc Sb P
4 2 2
Direct
0.091 0.625 0.966
0.375 0.341 0.466
0.659 0.125 0.034
0.875 0.909 0.534
0.250 0.750 0.500
0.500 0.500 0.000
0.000 0.000 0.000
0.750 0.250 0.500
```

Computed properties:
- calculated total energy (eV per cell) = -159.37
- energy relative to the elements, uncorrected (meV/atom) = -887
- symmetry = I-42d
- M_tot (μB/atom) = 0.000

# 27
Compound: Sr2PCl
Source: the Alexandria database
Functional: meta-GGA SCAN
Structure: single point on PBEsol structure

```
Sr2PCl
1.0
3.703 0.000 0.000
0.000 3.703 0.000
0.000 0.000 7.594
Sr P Cl
2 1 1
Direct
0.000 0.000 0.213
0.000 0.000 0.787
0.500 0.500 0.000
0.500 0.500 0.500
```

Computed properties:
- calculated total energy (eV per cell) = -69.39
- energy relative to the elements, uncorrected (meV/atom) = -1616
- symmetry = P4/mmm
- M_tot (μB/atom) = 0.000